# 1
The following is a GGA-PBE calculation of Tm2GeRu2 after structural relaxation, from the Alexandria database.

Results
M_tot = 0.00 μB per formula unit
symmetry = Immm, No. 71
DFT total energy = -34.87 eV for the cell shown
energy above the lowest structure with this stoichiometry = 0.028 eV per atom

abc: 3.9787 5.7858 5.5126
angles: 121.65 111.15 90.00
Atoms (fractional coordinates):
Tm 0.7936 0.2937 0.5873
Tm 0.2064 0.7063 0.4127
Ge 0.0000 0.0000 0.0000
Ru 0.5000 0.2717 0.0000
Ru 0.5000 0.7283 0.0000



# 2
The following is a GGA-PBE calculation of Tm4Ge6Ru7 after structural relaxation, from the Alexandria database.

Results
M_tot = 0.00 μB per formula unit
symmetry = Im-3m, No. 229
DFT total energy = -121.35 eV for the cell shown

abc: 7.2051 7.2051 7.2051
angles: 109.47 109.47 109.47
Atoms (fractional coordinates):
Ru 0.7500 0.5000 0.2500
Ru 0.2500 0.7500 0.5000
Ru 0.5000 0.7500 0.2500
Ru 0.5000 0.2500 0.7500
Ru 0.2500 0.5000 0.7500
Ru 0.0000 0.0000 0.0000
Ru 0.7500 0.2500 0.5000
Ge 0.0000 0.6856 0.6856
Ge 0.0000 0.3144 0.3144
Ge 0.6856 0.0000 0.6856
Ge 0.3144 0.0000 0.3144
Ge 0.3144 0.3144 0.0000
Ge 0.6856 0.6856 0.0000
Tm 0.0000 0.5000 0.0000
Tm 0.5000 0.0000 0.0000
Tm 0.5000 0.5000 0.5000
Tm 0.0000 0.0000 0.5000



# 3
The following is a GGA-PBE calculation of TmGe2Ru4 after structural relaxation, from the Alexandria database.

Results
M_tot = 0.00 μB per formula unit
symmetry = P4_2/mnm, No. 136
DFT total energy = -107.40 eV for the cell shown

abc: 3.9473 7.5854 7.5854
angles: 90.00 90.00 90.00
Atoms (fractional coordinates):
Ru 0.5000 0.5820 0.1543
Ru 0.5000 0.4180 0.8457
Ru 0.0000 0.0820 0.3457
Ru 0.0000 0.3457 0.0820
Ru 0.0000 0.6543 0.9180
Ru 0.5000 0.8457 0.4180
Ru 0.5000 0.1543 0.5820
Ru 0.0000 0.9180 0.6543
Ge 0.0000 0.7853 0.2147
Ge 0.5000 0.2853 0.2853
Ge 0.5000 0.7147 0.7147
Ge 0.0000 0.2147 0.7853
Tm 0.0000 0.5000 0.5000
Tm 0.5000 0.0000 0.0000



- Which of these has the lowest DFT total energy?
  Tm4Ge6Ru7



- What is the formula in the first record?
  Tm2GeRu2



- Among the records above, which one has the highest DFT total energy?
  Tm2GeRu2